Entry 1:
Entry from Alexandria via LeMat-Bulk: BeMo2 at its PBEsol-relaxed geometry (meta-GGA SCAN).

Structure (POSCAR):
```
BeMo2
1.0
-0.698 -2.429 -0.448
3.571 -0.688 -1.837
0.121 0.477 4.576
Mo Be
2 1
Direct
0.662 0.662 0.323
0.338 0.338 0.677
0.000 0.000 0.000
```

## Properties
As for the calculated formation energy: 168 meV/atom. The value obtained for the energy relative to the lowest polymorph listed for this composition is 0.253 eV/atom.

Entry 2:
Entry from Alexandria via LeMat-Bulk: BeMo2 at its PBEsol-relaxed geometry (meta-GGA SCAN).

Structure (POSCAR):
```
BeMo2
1.0
2.538 0.000 0.000
0.000 4.376 0.000
0.000 -2.188 3.790
Mo Be
2 1
Direct
0.000 0.667 0.333
0.000 0.333 0.667
0.500 0.000 0.000
```

## Properties
As for the calculated formation energy: 400 meV/atom. The value obtained for the energy relative to the lowest polymorph listed for this composition is 0.485 eV/atom.

Entry 3:
Entry from Alexandria via LeMat-Bulk: Be2Mo at its PBEsol-relaxed geometry (meta-GGA SCAN).

Structure (POSCAR):
```
Be2Mo
1.0
2.477 0.000 0.000
-1.238 4.413 0.003
0.000 -0.217 5.955
Mo Be
2 4
Direct
0.772 0.544 0.937
0.016 0.032 0.643
0.041 0.082 0.060
0.398 0.796 0.283
0.278 0.556 0.583
0.662 0.324 0.326
```

## Properties
As for the calculated formation energy: 122 meV/atom. The value obtained for the energy relative to the lowest polymorph listed for this composition is 0.451 eV/atom.

Entry 4:
Entry from Alexandria via LeMat-Bulk: BeMo3N at its PBEsol-relaxed geometry (meta-GGA SCAN).

Structure (POSCAR):
```
BeMo3N
1.0
4.011 0.000 0.000
0.000 4.011 0.000
0.000 0.000 4.011
Mo N Be
3 1 1
Direct
0.000 0.000 0.500
0.500 0.000 0.000
0.000 0.500 0.000
0.000 0.000 0.000
0.500 0.500 0.500
```

## Properties
The value obtained for the uncorrected formation energy is 0.01 eV per atom.

| no. | magnetization (μB/f.u.) |
| --- | --- |
| 1 | 0.00 |
| 2 | 0.00 |
| 3 | 0.00 |
| 4 | 0.00 |